VASP calculation (PBE) on a relaxed Ac2NpRhS6 crystal.

Summary:
- Formation energy (no corrections): -1372 meV per atom
- Energy: -134.0 eV per cell
- Space-group type: Pmmn

a b c (Å): 6.745 7.329 9.959
angles (deg): 90.00 90.00 90.00
Last column: magnetic moment on the atom in μB.
Fractional coordinates of all 20 atoms:
Ac 0.500 0.804 0.208  0.02
Ac 0.000 0.196 0.708  0.02
Ac 0.500 0.804 0.792  0.02
Ac 0.000 0.196 0.292  0.02
Np 0.000 0.711 0.500  3.57
Np 0.500 0.289 0.000  3.57
Rh 0.500 0.221 0.500  0.28
Rh 0.000 0.779 0.000  0.28
S 0.500 0.213 0.260  -0.01
S 0.500 0.213 0.740  -0.01
S 0.000 0.787 0.240  -0.01
S 0.000 0.787 0.760  -0.01
S 0.258 0.983 0.500  -0.02
S 0.742 0.983 0.500  -0.02
S 0.244 0.439 0.500  -0.03
S 0.756 0.439 0.500  -0.03
S 0.744 0.561 0.000  -0.03
S 0.256 0.561 0.000  -0.03
S 0.242 0.017 0.000  -0.02
S 0.758 0.017 0.000  -0.02

VASP calculation (PBE) on a relaxed Ac2NpSb3Rh4 crystal.

Summary:
- Formation energy (no corrections): -754 meV per atom
- Energy: -70.5 eV per cell
- Space-group type: P-4m2

a b c (Å): 4.612 4.612 10.983
angles (deg): 90.00 90.00 90.00
Last column: magnetic moment on the atom in μB.
Fractional coordinates of all 10 atoms:
Ac 0.500 0.000 0.233  0.06
Ac 0.000 0.500 0.767  0.06
Np 0.500 0.500 0.500  3.71
Sb 0.000 0.000 0.500  -0.04
Sb 0.500 0.000 0.876  0.01
Sb 0.000 0.500 0.124  0.01
Rh 0.500 0.500 0.000  0.06
Rh 0.000 0.000 0.000  0.06
Rh 0.500 0.000 0.636  -0.13
Rh 0.000 0.500 0.364  -0.13

VASP calculation (PBE) on a relaxed Ac2NpSb4Rh3 crystal.

Summary:
- Formation energy (no corrections): -651 meV per atom
- Energy: -66.2 eV per cell
- Space-group type: P-4m2

a b c (Å): 4.610 4.610 11.881
angles (deg): 90.00 90.00 90.00
Last column: magnetic moment on the atom in μB.
Fractional coordinates of all 10 atoms:
Ac 0.500 0.000 0.228  0.03
Ac 0.000 0.500 0.772  0.03
Np 0.500 0.500 0.500  3.88
Sb 0.500 0.500 0.000  0.00
Sb 0.000 0.000 0.000  0.00
Sb 0.500 0.000 0.663  -0.03
Sb 0.000 0.500 0.337  -0.03
Rh 0.000 0.000 0.500  -0.33
Rh 0.500 0.000 0.888  -0.01
Rh 0.000 0.500 0.112  -0.01

VASP calculation (PBE) on a relaxed Ac3Np2Ru4 crystal.

Summary:
- E_form: -0.172 eV/atom
- Energy: -76.9 eV per cell
- Space-group type: C2/m

a b c (Å): 4.253 6.334 9.279
angles (deg): 102.13 90.00 109.62
Last column: magnetic moment on the atom in μB.
Fractional coordinates of all 9 atoms:
Ac 0.379 0.757 0.616  0.08
Ac 0.000 0.000 0.000  0.04
Ac 0.621 0.243 0.384  0.08
Np 0.323 0.646 0.215  3.00
Np 0.677 0.354 0.785  3.00
Ru 0.726 0.451 0.091  -0.36
Ru 0.092 0.184 0.650  -0.33
Ru 0.908 0.816 0.350  -0.33
Ru 0.274 0.549 0.909  -0.36

VASP calculation (PBE) on a relaxed AcNp3S6 crystal.

Summary:
- Formation energy (no corrections): -1495 meV per atom
- Energy: -165.3 eV per cell
- Space-group type: Cmc2_1

a b c (Å): 7.046 8.394 8.394
angles (deg): 103.41 90.00 90.00
Last column: magnetic moment on the atom in μB.
Fractional coordinates of all 20 atoms:
Ac 0.978 0.188 0.812  0.09
Ac 0.478 0.812 0.188  0.09
Np 0.481 0.910 0.712  3.86
Np 0.981 0.712 0.910  3.86
Np 0.387 0.407 0.593  3.78
Np 0.887 0.593 0.407  3.78
Np 0.981 0.090 0.288  3.86
Np 0.481 0.288 0.090  3.86
S 0.179 0.699 0.626  -0.11
S 0.679 0.626 0.699  -0.11
S 0.237 0.468 0.916  -0.09
S 0.737 0.916 0.468  -0.09
S 0.240 0.008 0.992  -0.08
S 0.586 0.229 0.771  -0.10
S 0.086 0.771 0.229  -0.10
S 0.740 0.992 0.008  -0.08
S 0.237 0.084 0.532  -0.09
S 0.737 0.532 0.084  -0.09
S 0.179 0.374 0.301  -0.11
S 0.679 0.301 0.374  -0.11

VASP calculation (PBE) on a relaxed Ac6NpS12 crystal.

Summary:
- Formation energy (no corrections): -1924 meV per atom
- Energy: -123.7 eV per cell
- Space-group type: R-3

a b c (Å): 8.397 8.397 8.397
angles (deg): 98.37 98.37 98.37
Last column: magnetic moment on the atom in μB.
Fractional coordinates of all 19 atoms:
Ac 0.689 0.857 0.376  0.00
Ac 0.624 0.311 0.143  0.00
Ac 0.143 0.624 0.311  0.00
Ac 0.311 0.143 0.624  0.00
Ac 0.376 0.689 0.857  0.00
Ac 0.857 0.376 0.689  0.00
Np 0.000 0.000 0.000  1.64
S 0.823 0.562 0.411  -0.01
S 0.411 0.823 0.562  -0.01
S 0.562 0.411 0.823  -0.01
S 0.177 0.438 0.589  -0.01
S 0.589 0.177 0.438  -0.01
S 0.438 0.589 0.177  -0.01
S 0.060 0.971 0.303  -0.07
S 0.029 0.697 0.940  -0.07
S 0.697 0.940 0.029  -0.07
S 0.940 0.029 0.697  -0.07
S 0.971 0.303 0.060  -0.07
S 0.303 0.060 0.971  -0.07

VASP calculation (PBE) on a relaxed AcNp4S8 crystal.

Summary:
- Formation energy (no corrections): -1469 meV per atom
- Energy: -108.0 eV per cell
- Space-group type: C2/m

a b c (Å): 8.018 8.018 8.093
angles (deg): 103.36 105.61 119.69
Last column: magnetic moment on the atom in μB.
Fractional coordinates of all 13 atoms:
Ac 0.000 0.500 0.500  0.04
Np 0.246 0.246 0.000  3.72
Np 0.754 0.754 0.000  3.72
Np 0.273 0.776 0.050  3.73
Np 0.727 0.224 0.950  3.73
S 0.710 0.043 0.209  -0.09
S 0.166 0.498 0.209  -0.09
S 0.690 0.500 0.190  -0.09
S 0.185 0.028 0.214  -0.11
S 0.815 0.972 0.786  -0.11
S 0.310 0.500 0.810  -0.09
S 0.834 0.502 0.791  -0.09
S 0.290 0.957 0.791  -0.09

VASP calculation (PBE) on a relaxed AcNpS crystal.

Summary:
- Formation energy (no corrections): -746 meV per atom
- Energy: -93.7 eV per cell
- Space-group type: Cmcm

a b c (Å): 5.500 5.500 11.986
angles (deg): 90.00 90.00 90.00
Last column: magnetic moment on the atom in μB.
Fractional coordinates of all 12 atoms:
Np 0.750 0.752 0.250  4.10
Np 0.750 0.748 0.750  4.10
Np 0.250 0.252 0.250  4.10
Np 0.250 0.248 0.750  4.10
S 0.750 0.252 0.250  -0.08
S 0.750 0.248 0.750  -0.08
S 0.250 0.752 0.250  -0.08
S 0.250 0.748 0.750  -0.08
Ac 0.750 0.250 0.000  0.10
Ac 0.750 0.250 0.500  0.10
Ac 0.250 0.750 0.000  0.10
Ac 0.250 0.750 0.500  0.10

VASP calculation (PBE) on a relaxed Ac2NpS6 crystal.

Summary:
- Formation energy (no corrections): -1555 meV per atom
- Energy: -59.9 eV per cell
- Space-group type: P-62m

a b c (Å): 4.068 7.703 7.703
angles (deg): 120.00 90.00 90.00
Last column: magnetic moment on the atom in μB.
Fractional coordinates of all 9 atoms:
Ac 0.000 0.333 0.667  -0.01
Ac 0.000 0.667 0.333  -0.01
Np 0.500 0.000 0.000  2.62
S 0.500 0.602 0.000  -0.08
S 0.500 0.398 0.398  -0.08
S 0.500 0.000 0.602  -0.08
S 0.000 0.234 0.000  -0.16
S 0.000 0.766 0.766  -0.16
S 0.000 0.000 0.234  -0.16

VASP calculation (PBE) on a relaxed AcNp4S6 crystal.

Summary:
- Formation energy (no corrections): -1521 meV per atom
- Energy: -194.7 eV per cell
- Space-group type: Cmcm

a b c (Å): 3.982 6.763 19.968
angles (deg): 90.00 90.00 107.12
Last column: magnetic moment on the atom in μB.
Fractional coordinates of all 22 atoms:
Ac 0.659 0.317 0.250  0.05
Ac 0.341 0.683 0.750  0.05
Np 0.863 0.726 0.540  3.97
Np 0.405 0.809 0.124  3.93
Np 0.137 0.274 0.460  3.97
Np 0.595 0.191 0.876  3.93
Np 0.863 0.726 0.960  3.97
Np 0.137 0.274 0.040  3.97
Np 0.595 0.191 0.624  3.93
Np 0.405 0.809 0.376  3.93
S 0.500 0.000 0.000  -0.11
S 0.500 0.000 0.500  -0.11
S 0.041 0.082 0.337  -0.07
S 0.959 0.918 0.663  -0.07
S 0.959 0.918 0.837  -0.07
S 0.041 0.082 0.163  -0.07
S 0.767 0.534 0.412  -0.10
S 0.233 0.466 0.588  -0.10
S 0.233 0.466 0.912  -0.10
S 0.767 0.534 0.088  -0.10
S 0.328 0.657 0.250  -0.06
S 0.672 0.343 0.750  -0.06

VASP calculation (PBE) on a relaxed AcNpS3 crystal.

Summary:
- Formation energy (no corrections): -1765 meV per atom
- Energy: -153.0 eV per cell
- Space-group type: Pnma

a b c (Å): 4.166 7.580 15.754
angles (deg): 90.00 90.00 90.00
Last column: magnetic moment on the atom in μB.
Fractional coordinates of all 20 atoms:
Ac 0.750 0.864 0.801  0.04
Ac 0.250 0.136 0.199  0.04
Ac 0.750 0.364 0.699  0.04
Ac 0.250 0.636 0.301  0.04
Np 0.250 0.271 0.960  3.84
Np 0.250 0.771 0.540  3.84
Np 0.750 0.229 0.460  3.84
Np 0.750 0.729 0.040  3.84
S 0.250 0.370 0.557  -0.07
S 0.750 0.843 0.212  -0.03
S 0.750 0.486 0.900  -0.08
S 0.750 0.986 0.600  -0.08
S 0.750 0.630 0.443  -0.07
S 0.250 0.014 0.400  -0.08
S 0.250 0.870 0.943  -0.07
S 0.750 0.343 0.288  -0.03
S 0.250 0.657 0.712  -0.03
S 0.250 0.157 0.788  -0.03
S 0.750 0.130 0.057  -0.07
S 0.250 0.514 0.100  -0.08

VASP calculation (PBE) on a relaxed AcNp3S6 crystal.

Summary:
- Formation energy (no corrections): -1558 meV per atom
- Energy: -166.6 eV per cell
- Space-group type: P2_1/m

a b c (Å): 4.076 10.983 11.591
angles (deg): 107.54 90.00 90.00
Last column: magnetic moment on the atom in μB.
Fractional coordinates of all 20 atoms:
Ac 0.750 0.056 0.698  0.02
Ac 0.250 0.944 0.302  0.02
Np 0.750 0.456 0.836  3.83
Np 0.250 0.544 0.164  3.83
Np 0.750 0.678 0.500  -3.76
Np 0.250 0.322 0.500  -3.76
Np 0.750 0.159 0.083  3.78
Np 0.250 0.841 0.917  3.78
S 0.750 0.481 0.609  0.05
S 0.250 0.519 0.391  0.05
S 0.750 0.914 0.089  -0.08
S 0.250 0.086 0.911  -0.08
S 0.750 0.391 0.047  -0.11
S 0.250 0.609 0.953  -0.11
S 0.750 0.718 0.267  -0.04
S 0.250 0.282 0.733  -0.04
S 0.750 0.128 0.461  0.04
S 0.250 0.872 0.539  0.04
S 0.750 0.797 0.758  -0.06
S 0.250 0.203 0.242  -0.06

VASP calculation (PBE) on a relaxed AcNp2S4 crystal.

Summary:
- Formation energy (no corrections): -1628 meV per atom
- Energy: -115.8 eV per cell
- Space-group type: Cmcm

a b c (Å): 4.032 6.815 13.285
angles (deg): 90.00 90.00 107.21
Last column: magnetic moment on the atom in μB.
Fractional coordinates of all 14 atoms:
Ac 0.616 0.233 0.750  0.06
Ac 0.384 0.767 0.250  0.06
Np 0.131 0.262 0.438  3.99
Np 0.869 0.738 0.938  3.99
Np 0.131 0.262 0.062  3.99
Np 0.869 0.738 0.562  3.99
S 0.767 0.533 0.119  -0.07
S 0.767 0.533 0.381  -0.07
S 0.233 0.467 0.881  -0.07
S 0.233 0.467 0.619  -0.07
S 0.949 0.899 0.750  -0.06
S 0.051 0.101 0.250  -0.06
S 0.500 0.000 0.000  -0.10
S 0.500 0.000 0.500  -0.10

VASP calculation (PBE) on a relaxed AcNpS3 crystal.

Summary:
- Formation energy (no corrections): -1763 meV per atom
- Energy: -76.5 eV per cell
- Space-group type: Pmmn

a b c (Å): 4.157 6.636 8.997
angles (deg): 90.00 90.00 90.00
Last column: magnetic moment on the atom in μB.
Fractional coordinates of all 10 atoms:
Ac 0.750 0.250 0.148  0.04
Ac 0.250 0.750 0.852  0.04
Np 0.750 0.750 0.405  3.80
Np 0.250 0.250 0.595  3.80
S 0.750 0.750 0.081  -0.03
S 0.250 0.250 0.919  -0.03
S 0.750 0.987 0.660  -0.08
S 0.750 0.513 0.660  -0.08
S 0.250 0.013 0.340  -0.08
S 0.250 0.487 0.340  -0.08

VASP calculation (PBE) on a relaxed Ac2NpS5 crystal.

Summary:
- Formation energy (no corrections): -1893 meV per atom
- Energy: -227.7 eV per cell
- Space-group type: Pnma

a b c (Å): 7.730 8.462 12.195
angles (deg): 90.00 90.00 90.00
Last column: magnetic moment on the atom in μB.
Fractional coordinates of all 32 atoms:
Ac 0.457 0.502 0.827  0.00
Ac 0.543 0.498 0.173  0.00
Ac 0.957 0.498 0.673  0.00
Ac 0.543 0.002 0.173  0.00
Ac 0.043 0.502 0.327  0.00
Ac 0.457 0.998 0.827  0.00
Ac 0.043 0.998 0.327  0.00
Ac 0.957 0.002 0.673  0.00
Np 0.449 0.250 0.504  3.26
Np 0.551 0.750 0.496  3.26
Np 0.949 0.750 0.996  3.26
Np 0.051 0.250 0.004  3.26
S 0.055 0.250 0.503  -0.03
S 0.945 0.750 0.497  -0.03
S 0.555 0.750 0.997  -0.03
S 0.445 0.250 0.003  -0.03
S 0.332 0.968 0.584  -0.08
S 0.668 0.032 0.416  -0.08
S 0.832 0.032 0.916  -0.08
S 0.668 0.468 0.416  -0.08
S 0.168 0.968 0.084  -0.08
S 0.332 0.532 0.584  -0.08
S 0.168 0.532 0.084  -0.08
S 0.832 0.468 0.916  -0.08
S 0.173 0.250 0.791  -0.04
S 0.827 0.750 0.209  -0.04
S 0.673 0.750 0.709  -0.04
S 0.327 0.250 0.291  -0.04
S 0.653 0.250 0.691  -0.03
S 0.347 0.750 0.309  -0.03
S 0.153 0.750 0.809  -0.03
S 0.847 0.250 0.191  -0.03

VASP calculation (PBE) on a relaxed AcNpS2 crystal.

Summary:
- Formation energy (no corrections): -1294 meV per atom
- Energy: -30.5 eV per cell
- Space-group type: P4/mmm

a b c (Å): 3.556 3.556 7.201
angles (deg): 90.00 90.00 90.00
Last column: magnetic moment on the atom in μB.
Fractional coordinates of all 4 atoms:
Np 0.500 0.500 0.000  4.41
Ac 0.500 0.500 0.500  0.14
S 0.000 0.000 0.766  -0.05
S 0.000 0.000 0.234  -0.05

VASP calculation (PBE) on a relaxed AcNpS2 crystal.

Summary:
- Formation energy (no corrections): -1649 meV per atom
- Energy: -31.9 eV per cell
- Space-group type: R-3m

a b c (Å): 4.091 4.091 7.198
angles (deg): 73.49 73.49 60.00
Last column: magnetic moment on the atom in μB.
Fractional coordinates of all 4 atoms:
Np 0.000 0.000 0.000  3.99
Ac 0.500 0.500 0.500  0.03
S 0.740 0.740 0.779  -0.06
S 0.260 0.260 0.221  -0.06

VASP calculation (PBE) on a relaxed AcNpS crystal.

Summary:
- Formation energy (no corrections): -516 meV per atom
- Energy: -22.7 eV per cell
- Space-group type: I4mm

a b c (Å): 3.844 3.844 6.794
angles (deg): 106.43 106.43 90.00
Last column: magnetic moment on the atom in μB.
Fractional coordinates of all 3 atoms:
Np 0.609 0.609 0.219  4.18
Ac 0.317 0.317 0.635  0.16
S 0.073 0.073 0.147  -0.09

VASP calculation (PBE) on a relaxed Ac2NpS6 crystal.

Summary:
- Formation energy (no corrections): -1633 meV per atom
- Energy: -121.2 eV per cell
- Space-group type: P2_1/c

a b c (Å): 6.708 7.772 9.373
angles (deg): 90.00 92.71 90.00
Last column: magnetic moment on the atom in μB.
Fractional coordinates of all 18 atoms:
Ac 0.967 0.399 0.746  0.00
Ac 0.533 0.899 0.754  0.00
Ac 0.467 0.101 0.246  0.00
Ac 0.033 0.601 0.254  0.00
Np 0.500 0.500 0.000  1.52
Np 0.000 0.000 0.500  1.52
S 0.893 0.971 0.242  -0.07
S 0.841 0.708 0.554  -0.06
S 0.817 0.664 0.950  -0.06
S 0.683 0.164 0.550  -0.06
S 0.659 0.208 0.946  -0.06
S 0.607 0.471 0.258  -0.07
S 0.107 0.029 0.758  -0.07
S 0.159 0.292 0.446  -0.06
S 0.183 0.336 0.050  -0.06
S 0.317 0.836 0.450  -0.06
S 0.341 0.792 0.054  -0.06
S 0.393 0.529 0.742  -0.07